No. 1
The following is a DFT calculation (GGA-PBE) of SmTmMg after structural relaxation. Values from VASP.

Structure (Quantum ESPRESSO input):
```
&SYSTEM
  ibrav = 0, nat = 6, ntyp = 3
/
ATOMIC_SPECIES
Sm 150.36 Sm.upf
Tm 168.93 Tm.upf
Mg 24.30 Mg.upf
CELL_PARAMETERS angstrom
4.6575 0.0000 0.0000
0.0000 4.6575 0.0000
0.0000 0.0000 8.3632
ATOMIC_POSITIONS crystal
Sm 0.2500 0.2500 0.1616
Sm 0.7500 0.7500 0.8384
Tm 0.2500 0.2500 0.7552
Tm 0.7500 0.7500 0.2448
Mg 0.2500 0.7500 0.5000
Mg 0.7500 0.2500 0.5000
```

Calculated values
- Space group: P4/nmm
- Polymorph energy (0 for the lowest one): 0.256 eV per atom
- Formation energy from the elements: 0.218 eV per atom
- Final energy: -20.26 eV per cell

***

No. 2
The following is a DFT calculation (GGA-PBE) of Sm6Tm8Mg after structural relaxation. Values from VASP.

Structure (Quantum ESPRESSO input):
```
&SYSTEM
  ibrav = 0, nat = 15, ntyp = 3
/
ATOMIC_SPECIES
Sm 150.36 Sm.upf
Tm 168.93 Tm.upf
Mg 24.30 Mg.upf
CELL_PARAMETERS angstrom
9.3103 0.0000 0.0000
-4.6552 8.0630 0.0000
0.0000 0.0000 6.6020
ATOMIC_POSITIONS crystal
Sm 0.0838 0.6798 0.0996
Sm 0.3202 0.4040 0.0996
Sm 0.4040 0.0838 0.9004
Sm 0.5960 0.9162 0.0996
Sm 0.6798 0.5960 0.9004
Sm 0.9162 0.3202 0.9004
Tm 0.0201 0.3335 0.3966
Tm 0.3134 0.9799 0.3966
Tm 0.3335 0.3134 0.6034
Tm 0.3333 0.6667 0.6680
Tm 0.6667 0.3333 0.3320
Tm 0.6665 0.6866 0.3966
Tm 0.6866 0.0201 0.6034
Tm 0.9799 0.6665 0.6034
Mg 0.0000 0.0000 0.0000
```

Calculated values
- Space group: P-3
- Formation energy from the elements: 0.252 eV per atom
- Final energy: -61.90 eV per cell

***

No. 3
The following is a DFT calculation (GGA-PBE) of SmTmMg after structural relaxation. Values from VASP.

Structure (Quantum ESPRESSO input):
```
&SYSTEM
  ibrav = 0, nat = 3, ntyp = 3
/
ATOMIC_SPECIES
Sm 150.36 Sm.upf
Tm 168.93 Tm.upf
Mg 24.30 Mg.upf
CELL_PARAMETERS angstrom
5.4481 0.0000 0.0000
-2.7240 4.7182 0.0000
0.0000 0.0000 3.3927
ATOMIC_POSITIONS crystal
Sm 0.0000 0.0000 0.0000
Tm 0.3333 0.6667 0.5700
Mg 0.6667 0.3333 0.3083
```

Calculated values
- Space group: P3m1
- Polymorph energy (0 for the lowest one): 0.085 eV per atom
- Formation energy from the elements: 0.047 eV per atom
- Final energy: -10.64 eV per cell